A plane-wave DFT calculation with PBE was carried out for a relaxed structure of PuNpSb.

Computed properties:
Uncorrected formation energy ... 47 meV per atom
DOS(E_F) ... 6.02 states/eV/f.u.
VASP energy ... -10.4180 eV per atom

abc: 4.5981 4.5981 3.6933
angles: 90.00 90.00 120.00
Closest atoms and distances in Å follow each position.
Space group P-6m2 (No. 187)
Asymmetric unit:
Pu 0.0000 0.0000 0.0000 (multiplicity 1)  3 Np 2.65
Np 0.3333 0.6667 0.0000 (multiplicity 1)  3 Pu 2.65
Sb 0.6667 0.3333 0.5000 (multiplicity 1)  6 Pu 3.23, 6 Np 3.23